La2FeSe | Alexandria via LeMat-Bulk | PBE-GGA | relaxed; symmetry = No. 99; energy relative to the elements, uncorrected = -282 meV per atom; density of states at the Fermi level = 5.2 states/eV/cell; crystal system = tetragonal
1.0
3.618 0.000 0.000
0.000 3.618 0.000
0.000 0.000 8.308
La Fe Se
2 1 1
Direct
0.000 0.000 0.000
0.500 0.500 0.421
0.500 0.500 0.781
0.000 0.000 0.633